Sr2PRh (PBE-GGA, optimized geometry); ΔE_f = -0.52 eV/f.u.
1.0
-5.332 4.233 -4.292
-5.964 -4.538 2.934
-5.990 1.850 1.722
Sr Rh P
4 2 2
Cartesian
-5.647 2.597 -1.942
-5.820 -1.901 1.785
-8.649 1.334 0.743
-14.456 1.060 0.143
0.000 0.000 0.000
-8.485 2.965 -1.624
-5.648 -0.152 -0.679
-8.801 -1.420 1.988

=====

TiV3 (PBE-GGA, optimized geometry); ΔE_f = 0.29 eV/f.u.
1.0
4.326 0.000 0.000
2.163 3.746 0.000
2.163 1.249 3.532
Ti V
1 3
Cartesian
4.326 2.498 1.766
0.000 0.000 0.000
6.489 3.746 2.649
2.163 1.249 0.883

=====

MgAlSn2O (PBE-GGA, optimized geometry); formation energy (no corrections) = 0.92 eV per atom
1.0
5.317 0.000 0.000
0.000 4.998 0.000
0.000 0.000 5.317
Mg Sn O Al
1 2 1 1
Cartesian
0.000 0.000 0.000
0.000 0.000 2.658
2.658 0.000 0.000
2.658 2.499 2.658
0.000 2.499 0.000

=====

no.,density (g/cm3),calculated total energy (eV per atom)
1,5.04,-4.162
2,5.82,-8.739
3,3.58,-2.745